The following is a DFT calculation (PBE) of CsPuGe2 after structural relaxation.

a = 4.838 Å, b = 4.838 Å, c = 21.649 Å
α = 90.00°, β = 90.00°, γ = 120.00°
Atoms (fractional coordinates):
Cs 0.000 0.000 0.000
Cs 0.333 0.667 0.667
Cs 0.667 0.333 0.333
Pu 0.000 0.000 0.500
Pu 0.333 0.667 0.167
Pu 0.667 0.333 0.833
Ge 0.000 0.000 0.202
Ge 0.000 0.000 0.798
Ge 0.333 0.667 0.465
Ge 0.333 0.667 0.869
Ge 0.667 0.333 0.131
Ge 0.667 0.333 0.535

For the size of the total moment, the calculation gives 18.7 μB/cell. For the energy of formation from the pure elements, the calculation gives 0.15 eV/f.u. As for the total energy: -72.81 eV per cell. The space group is R-3m, No. 166. The density of states at the Fermi level is 39.31 states/eV/cell.